Entry 1:
A plane-wave DFT calculation with PBE was carried out for a relaxed LaErMgCu crystal.

Computed properties:
- DOS at the Fermi energy: 4.368 states/eV per cell
- Symmetry: No. 216
- V: 102.32 Å³/cell
- E_form: -41.5 meV per atom
- Crystal system: cubic

a = 5.2499 Å, b = 5.2499 Å, c = 5.2499 Å
α = 60.00°, β = 60.00°, γ = 60.00°
With the nearest neighbours (Å) after each atom.
Positions (direct):
La 0.0000 0.0000 0.0000  4 Cu 3.21, 4 Mg 3.21
Er 0.5000 0.5000 0.5000  4 Mg 3.21, 4 Cu 3.21
Mg 0.2500 0.2500 0.2500  4 La 3.21, 4 Er 3.21
Cu 0.7500 0.7500 0.7500  4 Er 3.21, 4 La 3.21

Entry 2:
A plane-wave DFT calculation with PBE was carried out for a relaxed La2ErCu3Ni12 crystal.

Computed properties:
- DOS at the Fermi energy: 23.374 states/eV per cell
- Symmetry: No. 166
- V: 293.22 Å³/cell
- E_form: 190.5 meV per atom
- Crystal system: trigonal

a = 9.1564 Å, b = 9.1564 Å, c = 9.1564 Å
α = 40.60°, β = 40.60°, γ = 40.60°
With the nearest neighbours (Å) after each atom.
Positions (direct):
La 0.1362 0.1362 0.1362  6 Ni 2.74-2.89
La 0.8638 0.8638 0.8638  6 Ni 2.74-2.89
Er 0.5000 0.5000 0.5000  6 Ni 2.87
Cu 0.0000 0.5000 0.5000  6 Ni 2.35-2.47
Cu 0.5000 0.0000 0.5000  6 Ni 2.35-2.47
Cu 0.5000 0.5000 0.0000  6 Ni 2.35-2.47
Ni 0.0173 0.6364 0.6364  4 Ni 2.42-2.43, 1 Cu 2.47
Ni 0.0833 0.0833 0.7076  2 Cu 2.35, 6 Ni 2.39-2.52
Ni 0.0833 0.7076 0.0833  2 Cu 2.35, 6 Ni 2.39-2.52
Ni 0.2924 0.9167 0.9167  2 Cu 2.35, 6 Ni 2.39-2.52
Ni 0.3636 0.3636 0.9827  4 Ni 2.42-2.43, 1 Cu 2.47
Ni 0.3636 0.9827 0.3636  4 Ni 2.42-2.43, 1 Cu 2.47
Ni 0.6364 0.0173 0.6364  4 Ni 2.42-2.43, 1 Cu 2.47
Ni 0.6364 0.6364 0.0173  4 Ni 2.42-2.43, 1 Cu 2.47
Ni 0.7076 0.0833 0.0833  2 Cu 2.35, 6 Ni 2.39-2.52
Ni 0.9167 0.2924 0.9167  2 Cu 2.35, 6 Ni 2.39-2.52
Ni 0.9167 0.9167 0.2924  2 Cu 2.35, 6 Ni 2.39-2.52
Ni 0.9827 0.3636 0.3636  4 Ni 2.42-2.43, 1 Cu 2.47

Entry 3:
A plane-wave DFT calculation with PBE was carried out for a relaxed La2ErCu12Ni3 crystal.

Computed properties:
- DOS at the Fermi energy: 11.337 states/eV per cell
- Symmetry: No. 166
- V: 312.04 Å³/cell
- E_form: 237.0 meV per atom
- Crystal system: trigonal

a = 9.6533 Å, b = 9.6533 Å, c = 9.6533 Å
α = 38.42°, β = 38.42°, γ = 38.42°
With the nearest neighbours (Å) after each atom.
Positions (direct):
La 0.1380 0.1380 0.1380  6 Cu 2.97-3.10
La 0.8620 0.8620 0.8620  6 Cu 2.97-3.10
Er 0.5000 0.5000 0.5000  6 Cu 2.90
Cu 0.0349 0.6240 0.6240  4 Cu 2.47-2.61, 1 Ni 2.55
Cu 0.0874 0.0874 0.7048  2 Ni 2.34, 6 Cu 2.43-2.57
Cu 0.0874 0.7048 0.0874  2 Ni 2.34, 6 Cu 2.43-2.57
Cu 0.2952 0.9126 0.9126  2 Ni 2.34, 6 Cu 2.43-2.57
Cu 0.3760 0.3760 0.9651  4 Cu 2.47-2.61, 1 Ni 2.55
Cu 0.3760 0.9651 0.3760  4 Cu 2.47-2.61, 1 Ni 2.55
Cu 0.6240 0.0349 0.6240  4 Cu 2.47-2.61, 1 Ni 2.55
Cu 0.6240 0.6240 0.0349  4 Cu 2.47-2.61, 1 Ni 2.55
Cu 0.7048 0.0874 0.0874  2 Ni 2.34, 6 Cu 2.43-2.57
Cu 0.9126 0.2952 0.9126  2 Ni 2.34, 6 Cu 2.43-2.57
Cu 0.9126 0.9126 0.2952  2 Ni 2.34, 6 Cu 2.43-2.57
Cu 0.9651 0.3760 0.3760  4 Cu 2.47-2.61, 1 Ni 2.55
Ni 0.0000 0.5000 0.5000  6 Cu 2.34-2.55
Ni 0.5000 0.0000 0.5000  6 Cu 2.34-2.55
Ni 0.5000 0.5000 0.0000  6 Cu 2.34-2.55

Entry 4:
A plane-wave DFT calculation with PBE was carried out for a relaxed LaErCuNi crystal.

Computed properties:
- DOS at the Fermi energy: 3.444 states/eV per cell
- Symmetry: No. 38
- V: 88.81 Å³/cell
- E_form: -301.6 meV per atom
- Crystal system: orthorhombic

a = 4.4042 Å, b = 5.6682 Å, c = 5.6682 Å
α = 38.87°, β = 90.00°, γ = 90.00°
With the nearest neighbours (Å) after each atom.
Positions (direct):
La 0.0000 0.0000 0.0000  3 Cu 2.97-3.05, 4 Ni 3.01
Er 0.5000 0.2731 0.2731  2 Ni 2.83, 4 Cu 2.97
Cu 0.0000 0.7148 0.7148  2 Ni 2.66, 4 Er 2.97, 2 La 2.97
Ni 0.5000 0.5760 0.5760  2 Cu 2.66, 2 Er 2.83

Entry 5:
A plane-wave DFT calculation with PBE was carried out for a relaxed LaErCuNi crystal.

Computed properties:
- DOS at the Fermi energy: 2.032 states/eV per cell
- Symmetry: No. 216
- V: 85.93 Å³/cell
- E_form: -251.3 meV per atom
- Crystal system: cubic

a = 4.9532 Å, b = 4.9532 Å, c = 4.9532 Å
α = 60.00°, β = 60.00°, γ = 60.00°
With the nearest neighbours (Å) after each atom.
Positions (direct):
La 0.0000 0.0000 0.0000  4 Ni 3.03, 4 Cu 3.03
Er 0.5000 0.5000 0.5000  4 Cu 3.03, 4 Ni 3.03
Cu 0.7500 0.7500 0.7500  4 Er 3.03, 4 La 3.03
Ni 0.2500 0.2500 0.2500  4 Er 3.03, 4 La 3.03

Entry 6:
A plane-wave DFT calculation with PBE was carried out for a relaxed LaErCuOs crystal.

Computed properties:
- DOS at the Fermi energy: 2.483 states/eV per cell
- Symmetry: No. 216
- V: 85.85 Å³/cell
- E_form: -156.1 meV per atom
- Crystal system: cubic

a = 4.9516 Å, b = 4.9516 Å, c = 4.9516 Å
α = 60.00°, β = 60.00°, γ = 60.00°
With the nearest neighbours (Å) after each atom.
Positions (direct):
La 0.0000 0.0000 0.0000  4 Os 3.03, 4 Cu 3.03
Er 0.5000 0.5000 0.5000  4 Os 3.03, 4 Cu 3.03
Cu 0.7500 0.7500 0.7500  4 La 3.03, 4 Er 3.03
Os 0.2500 0.2500 0.2500  4 La 3.03, 4 Er 3.03

> Which value of V does entry 6 give?

85.85 Å³/cell

> Which value of DOS at the Fermi energy does entry 2 give?

23.374 states/eV per cell